Tb8NdEr2: relaxed, PBE.

Properties
- ΔE_f (eV per formula unit) = 1.3
- calculated volume (Å³/atom) = 32.5
- DOS(E_F) (states/eV/atom) = 1.434
- total energy (eV/cell) = -99.36
- energy above the most stable polymorph in this dataset (kJ/mol of atoms) = 0.0

abc: 5.5321 8.1522 15.8756
angles: 90.00 90.00 90.00
Closest atoms and distances in Å follow each position.
Space group Immm (No. 71)
Unique sites:
Tb  0.0000  0.0000  0.1638 x4  2 Er 3.51, 8 Tb 3.55-3.68, 2 Nd 3.80
Tb  0.0000  0.2058  0.3609 x8  1 Nd 3.26, 4 Tb 3.35-3.55, 3 Er 3.37-3.51
Tb  0.0000  0.2959  0.0000 x4  7 Tb 3.33-3.55, 2 Er 3.58, 2 Nd 3.67
Nd  0.0000  0.5000  0.5000 x2  4 Tb 3.26
Er  0.0000  0.5000  0.1996 x4  10 Tb 3.37-3.58